Here is VPO4 after structural relaxation from Alexandria. Energies are from PBE+U.

abc: 5.207 4.383 5.077
angles: 90.00 110.80 90.00
Space group P2_1/c (No. 14)
Inequivalent atoms, fractional coordinates:
1 V 0.000 0.000 0.000 [2 per cell]
2 P 0.500 0.000 0.500 [2 per cell]
3 O 0.191 0.157 0.389 [4 per cell]
4 O 0.372 0.723 0.692 [4 per cell]

## Properties
- Theoretical density: 4.474 g cm⁻³
- E: -88.4 eV/cell
- DOS(E_F): 0.00 states/eV/f.u.